Below is a geometry-optimized LiZrSc structure, with properties calculated at the GGA-PBE level.

Lattice parameters (Å, degrees): 5.666 5.666 7.986 106.71 106.71 32.78
Fractional positions:
Li 0.000 0.000 0.000
Li 0.658 0.658 0.285
Zr 0.299 0.299 0.641
Zr 0.592 0.592 0.744
Sc 0.291 0.291 0.044
Sc 0.957 0.957 0.409

**E**: -5.442 eV/atom
**Space-group type**: Cm

Below is a geometry-optimized Li2ZrSc structure, with properties calculated at the GGA-PBE level.

Lattice parameters (Å, degrees): 5.867 5.867 5.077 115.52 115.52 30.81
Fractional positions:
Li 0.000 0.000 0.000
Li 0.697 0.697 0.201
Zr 0.463 0.463 0.464
Sc 0.234 0.234 0.737

**E**: -4.422 eV/atom
**Space-group type**: Cm

Below is a geometry-optimized LiZrSc structure, with properties calculated at the GGA-PBE level.

Lattice parameters (Å, degrees): 5.573 5.573 8.392 111.38 111.38 33.08
Fractional positions:
Li 0.000 0.000 0.000
Li 0.624 0.624 0.842
Zr 0.295 0.295 0.681
Zr 0.660 0.660 0.348
Sc 0.327 0.327 0.152
Sc 0.972 0.972 0.501

**E**: -5.474 eV/atom
**Space-group type**: Cm